Material: SrTcSN2
Method: DFT, PBE
State: relaxed

abc: 3.962 3.962 5.080
angles: 90.00 90.00 90.00
Space group P4/mmm (No. 123)
One atom of each set of equivalent atoms:
1 Sr 0.000 0.000 0.000 x1
2 Tc 0.500 0.500 0.500 x1
3 S 0.500 0.500 0.000 x1
4 N 0.000 0.500 0.500 x2

Calculated values
Excess energy over the best structure of this formula in the dataset, meV/atom: 0.0
Density of states at the Fermi level, states/eV/cell: 3.99
Energy, eV per cell: -34.5
Uncorrected formation energy, eV/atom: -0.330